# 1
A relaxed structure of VNiMo2. Source: Alexandria, functional GGA-PBE.

abc: 4.058 3.728 3.728
angles: 90.00 90.00 90.00
Fractional coordinates of all 4 atoms:
Mo 0.000 0.500 0.000
Mo 0.000 0.000 0.500
Ni 0.500 0.500 0.500
V 0.500 0.000 0.000

Values from the calculation:
calculated volume	56	Å³ per cell
space-group type	P4/mmm
energy	-9.072	eV/atom
ΔE_f	0.3	eV/f.u.

---

# 2
A relaxed structure of FeB2W2. Source: Alexandria, functional GGA-PBE.

abc: 5.770 5.770 3.180
angles: 90.00 90.00 90.00
Fractional coordinates of all 10 atoms:
W 0.178 0.678 0.500
W 0.822 0.322 0.500
W 0.322 0.178 0.500
W 0.678 0.822 0.500
B 0.887 0.613 0.000
B 0.613 0.113 0.000
B 0.387 0.887 0.000
B 0.113 0.387 0.000
Fe 0.500 0.500 0.000
Fe 0.000 0.000 0.000

Values from the calculation:
calculated volume	106	Å³ per cell
space-group type	P4/mbm
energy	-9.927	eV/atom
ΔE_f	-1.9	eV/f.u.

---

# 3
A relaxed structure of TbPm2Pr3Se6. Source: Alexandria, functional GGA-PBE.

abc: 7.289 7.289 7.333
angles: 99.51 99.51 120.25
Fractional coordinates of all 12 atoms:
Se 0.080 0.407 0.240
Se 0.246 0.246 0.757
Se 0.593 0.920 0.760
Se 0.754 0.754 0.243
Se 0.920 0.593 0.760
Se 0.407 0.080 0.240
Pr 0.171 0.829 0.500
Pr 0.829 0.171 0.500
Pr 0.500 0.500 0.500
Tb 0.000 0.000 0.000
Pm 0.667 0.333 0.000
Pm 0.333 0.667 0.000

Values from the calculation:
calculated volume	318	Å³ per cell
formation energy without anion corrections	-1.833	eV/atom
space-group type	C2/m
energy	-5.947	eV/atom

---

# 4
A relaxed structure of Dy2ErGa. Source: Alexandria, functional GGA-PBE.

abc: 4.704 4.708 4.708
angles: 90.00 90.00 90.00
Fractional coordinates of all 4 atoms:
Er 0.500 0.500 0.500
Dy 0.000 0.000 0.500
Dy 0.000 0.500 0.000
Ga 0.500 0.000 0.000

Values from the calculation:
calculated volume	104	Å³ per cell
space-group type	P4/mmm
energy	-4.439	eV/atom
ΔE_f	-1.0	eV/f.u.

---

# 5
A relaxed structure of LiBiN3. Source: Alexandria, functional GGA-PBE.

abc: 4.378 4.378 4.378
angles: 90.00 90.00 90.00
Fractional coordinates of all 5 atoms:
N 0.500 0.000 0.000
N 0.000 0.500 0.000
N 0.000 0.000 0.500
Li 0.500 0.500 0.500
Bi 0.000 0.000 0.000

Values from the calculation:
calculated volume	84	Å³ per cell
formation energy without anion corrections	1.732	eV/atom
space-group type	Pm-3m
energy	-4.423	eV/atom

---

# 6
A relaxed structure of YTmZr. Source: Alexandria, functional GGA-PBE.

abc: 3.396 5.334 5.334
angles: 120.00 90.00 90.00
Fractional coordinates of all 3 atoms:
Zr 0.167 0.333 0.667
Tm 0.166 0.000 0.000
Y 0.667 0.667 0.333

Values from the calculation:
calculated volume	84	Å³ per cell
space-group type	P-6m2
energy	-6.373	eV/atom
ΔE_f	0.4	eV/f.u.

---

# 7
A relaxed structure of AcEuZnAg. Source: Alexandria, functional GGA-PBE.

abc: 5.476 5.476 5.476
angles: 60.00 60.00 60.00
Fractional coordinates of all 4 atoms:
Ac 0.500 0.500 0.500
Zn 0.750 0.750 0.750
Eu 0.000 0.000 0.000
Ag 0.250 0.250 0.250

Values from the calculation:
calculated volume	116	Å³ per cell
space-group type	F-43m
energy	-4.890	eV/atom
ΔE_f	-1.1	eV/f.u.

---

# 8
A relaxed structure of Pm4DyHoS8. Source: Alexandria, functional GGA-PBE.

abc: 8.206 8.206 8.191
angles: 59.94 59.94 60.00
Fractional coordinates of all 14 atoms:
S 0.241 0.241 0.753
S 0.223 0.763 0.251
S 0.247 0.247 0.260
S 0.763 0.223 0.251
S 0.241 0.766 0.753
S 0.766 0.241 0.753
S 0.757 0.757 0.728
S 0.763 0.763 0.251
Ho 0.376 0.376 0.873
Pm 0.001 0.497 0.501
Pm 0.624 0.624 0.127
Pm 0.497 0.001 0.501
Pm 0.001 0.001 0.501
Dy 0.001 0.001 0.997

Values from the calculation:
calculated volume	390	Å³ per cell
formation energy without anion corrections	-1.921	eV/atom
space-group type	R3m
energy	-6.292	eV/atom

---

Which value of calculated volume does entry 7 give? 116 Å³ per cell